Record 1
# La2CrAs, relaxed, DFT PBE-GGA
data_La2CrAs
_cell_length_a 7.5839
_cell_length_b 7.5839
_cell_length_c 7.5839
_cell_angle_alpha 33.12
_cell_angle_beta 33.12
_cell_angle_gamma 33.12
_symmetry_space_group_name_H-M 'P 1'
_symmetry_Int_Tables_number 1
_symmetry_space_group_name_Hall 'P 1'
loop_
_atom_site_label
_atom_site_fract_x
_atom_site_fract_y
_atom_site_fract_z
_atom_site_occupancy
As1 0.4504 0.4504 0.4504 1
La1 0.2168 0.2168 0.2168 1
La2 0.0324 0.0324 0.0324 1
Cr1 0.8004 0.8004 0.8004 1
# Mass density   5.8 Mg/m³
# Formation energy   -0.362 eV/atom
# D(E_F)   3.91 states/eV/cell


Record 2
# CeDyZr2As4, relaxed, DFT PBE-GGA
data_CeDyZr2As4
_cell_length_a 3.9955
_cell_length_b 6.9173
_cell_length_c 6.9692
_cell_angle_alpha 109.34
_cell_angle_beta 90.00
_cell_angle_gamma 90.00
_symmetry_space_group_name_H-M 'P 1'
_symmetry_Int_Tables_number 1
_symmetry_space_group_name_Hall 'P 1'
loop_
_atom_site_label
_atom_site_fract_x
_atom_site_fract_y
_atom_site_fract_z
_atom_site_occupancy
Zr1 0.0000 0.5000 0.5000 1
Zr2 0.5000 0.0000 0.5000 1
Dy1 0.0000 0.0000 0.0000 1
Ce1 0.5000 0.5000 0.0000 1
As1 0.5000 0.7468 0.7355 1
As2 0.5000 0.2532 0.2645 1
As3 0.0000 0.2424 0.7335 1
As4 0.0000 0.7576 0.2665 1
# Mass density   7.2 Mg/m³
# Formation energy   -1.314 eV/atom
# D(E_F)   5.67 states/eV/cell


Record 3
# LiBiIF2, relaxed, DFT PBE-GGA
data_LiBiIF2
_cell_length_a 4.6513
_cell_length_b 6.1105
_cell_length_c 4.6513
_cell_angle_alpha 90.00
_cell_angle_beta 90.00
_cell_angle_gamma 90.00
_symmetry_space_group_name_H-M 'P 1'
_symmetry_Int_Tables_number 1
_symmetry_space_group_name_Hall 'P 1'
loop_
_atom_site_label
_atom_site_fract_x
_atom_site_fract_y
_atom_site_fract_z
_atom_site_occupancy
Li1 0.5000 0.5000 0.5000 1
Bi1 0.0000 0.5000 0.0000 1
F1 0.0000 0.0000 0.5000 1
F2 0.5000 0.0000 0.0000 1
I1 0.0000 0.0000 0.0000 1
# Mass density   4.8 Mg/m³
# ΔE_f (raw)   -565 meV/atom
# D(E_F)   3.35 states/eV/cell


Record 4
# AcPmAg2, relaxed, DFT PBE-GGA
data_AcPmAg2
_cell_length_a 5.4528
_cell_length_b 5.4528
_cell_length_c 5.4528
_cell_angle_alpha 60.00
_cell_angle_beta 60.00
_cell_angle_gamma 60.00
_symmetry_space_group_name_H-M 'P 1'
_symmetry_Int_Tables_number 1
_symmetry_space_group_name_Hall 'P 1'
loop_
_atom_site_label
_atom_site_fract_x
_atom_site_fract_y
_atom_site_fract_z
_atom_site_occupancy
Pm1 0.0000 0.0000 0.0000 1
Ac1 0.5000 0.5000 0.5000 1
Ag1 0.7500 0.7500 0.7500 1
Ag2 0.2500 0.2500 0.2500 1
# Mass density   8.5 Mg/m³
# Formation energy   -0.237 eV/atom
# Offset from the most stable computed form   24 meV per atom
# D(E_F)   3.21 states/eV/cell


Record 5
# TmPd15Pb4, relaxed, DFT PBE-GGA
data_TmPd15Pb4
_cell_length_a 4.1064
_cell_length_b 4.1064
_cell_length_c 20.5414
_cell_angle_alpha 90.00
_cell_angle_beta 90.00
_cell_angle_gamma 90.00
_symmetry_space_group_name_H-M 'P 1'
_symmetry_Int_Tables_number 1
_symmetry_space_group_name_Hall 'P 1'
loop_
_atom_site_label
_atom_site_fract_x
_atom_site_fract_y
_atom_site_fract_z
_atom_site_occupancy
Tm1 0.0000 0.0000 0.0000 1
Pb1 0.0000 0.0000 0.6001 1
Pb2 0.0000 0.0000 0.8005 1
Pb3 0.0000 0.0000 0.3999 1
Pb4 0.0000 0.0000 0.1995 1
Pd1 0.5000 0.5000 0.7998 1
Pd2 0.5000 0.0000 0.0993 1
Pd3 0.0000 0.5000 0.7004 1
Pd4 0.5000 0.0000 0.5000 1
Pd5 0.0000 0.5000 0.5000 1
Pd6 0.0000 0.5000 0.2996 1
Pd7 0.0000 0.5000 0.9007 1
Pd8 0.0000 0.5000 0.0993 1
Pd9 0.5000 0.0000 0.9007 1
Pd10 0.5000 0.5000 0.3999 1
Pd11 0.5000 0.5000 0.0000 1
Pd12 0.5000 0.0000 0.2996 1
Pd13 0.5000 0.5000 0.2002 1
Pd14 0.5000 0.5000 0.6001 1
Pd15 0.5000 0.0000 0.7004 1
# Mass density   12.4 Mg/m³
# Formation energy   -0.416 eV/atom
# D(E_F)   5.17 states/eV/cell


Record 6
# YTl2Se, relaxed, DFT PBE-GGA
data_YTl2Se
_cell_length_a 6.6953
_cell_length_b 4.3156
_cell_length_c 4.3117
_cell_angle_alpha 88.22
_cell_angle_beta 71.82
_cell_angle_gamma 108.20
_symmetry_space_group_name_H-M 'P 1'
_symmetry_Int_Tables_number 1
_symmetry_space_group_name_Hall 'P 1'
loop_
_atom_site_label
_atom_site_fract_x
_atom_site_fract_y
_atom_site_fract_z
_atom_site_occupancy
Se1 0.5000 0.0000 0.5000 1
Tl1 0.0000 0.5000 0.5000 1
Tl2 0.0000 0.0000 0.0000 1
Y1 0.5000 0.5000 0.0000 1
# Mass density   8.6 Mg/m³
# ΔE_f (raw)   -580 meV/atom
# Offset from the most stable computed form   113 meV per atom
# D(E_F)   2.17 states/eV/cell


- The lowest D(E_F) belongs to which entry?
  YTl2Se